Material: NaRhSeCl2
Method: DFT, PBE
State: optimized geometry

The raw formation energy comes out at 0.57 eV/atom.

a = 4.792 Å, b = 5.777 Å, c = 4.792 Å
α = 90.00°, β = 90.00°, γ = 90.00°
Element x y z (fractional)
Rh 0.000 0.500 0.000
Se 0.500 0.500 0.500
Cl 0.000 0.000 0.500
Cl 0.500 0.000 0.000
Na 0.000 0.000 0.000

Material: NaSiRh2Cl
Method: DFT, PBE
State: optimized geometry

The raw formation energy comes out at 0.59 eV/atom.

a = 4.505 Å, b = 4.663 Å, c = 4.505 Å
α = 90.00°, β = 90.00°, γ = 90.00°
Element x y z (fractional)
Na 0.000 0.500 0.000
Cl 0.000 0.000 0.000
Rh 0.000 0.000 0.500
Rh 0.500 0.000 0.000
Si 0.500 0.500 0.500

Material: Na2SrRhCl8
Method: DFT, PBE
State: optimized geometry

The raw formation energy comes out at -1.35 eV/atom.

a = 6.249 Å, b = 6.375 Å, c = 8.318 Å
α = 89.93°, β = 89.97°, γ = 90.93°
Element x y z (fractional)
Cl 0.685 0.799 0.000
Cl 0.360 0.266 0.499
Cl 0.640 0.734 0.501
Cl 0.859 0.220 0.201
Cl 0.860 0.220 0.798
Cl 0.140 0.780 0.202
Cl 0.141 0.780 0.799
Cl 0.315 0.201 0.000
Rh 0.000 0.000 0.000
Na 0.501 0.501 0.249
Na 0.499 0.499 0.751
Sr 0.000 0.000 0.500

Material: NaTaRh2Cl
Method: DFT, PBE
State: optimized geometry

The raw formation energy comes out at 2.09 eV/atom.

a = 4.543 Å, b = 4.968 Å, c = 4.543 Å
α = 90.00°, β = 90.00°, γ = 90.00°
Element x y z (fractional)
Ta 0.000 0.500 0.000
Rh 0.500 0.000 0.000
Rh 0.000 0.000 0.500
Cl 0.500 0.500 0.500
Na 0.000 0.000 0.000

Material: NaTeRh2Cl
Method: DFT, PBE
State: optimized geometry

The raw formation energy comes out at 1.39 eV/atom.

a = 4.910 Å, b = 5.110 Å, c = 4.910 Å
α = 90.00°, β = 90.00°, γ = 90.00°
Element x y z (fractional)
Te 0.000 0.500 0.000
Rh 0.500 0.000 0.000
Rh 0.000 0.000 0.500
Cl 0.500 0.500 0.500
Na 0.000 0.000 0.000

Material: NaTlRh2Cl
Method: DFT, PBE
State: optimized geometry

The raw formation energy comes out at 0.28 eV/atom.

a = 4.574 Å, b = 4.862 Å, c = 4.574 Å
α = 90.00°, β = 90.00°, γ = 90.00°
Element x y z (fractional)
Na 0.000 0.500 0.000
Rh 0.000 0.000 0.500
Rh 0.500 0.000 0.000
Cl 0.000 0.000 0.000
Tl 0.500 0.500 0.500

Material: Na2TlRhCl6
Method: DFT, PBE
State: optimized geometry

The raw formation energy comes out at -1.14 eV/atom.

a = 6.979 Å, b = 6.977 Å, c = 7.506 Å
α = 62.29°, β = 62.26°, γ = 59.94°
Element x y z (fractional)
Cl 0.148 0.380 0.784
Cl 0.258 0.976 0.223
Cl 0.688 0.147 0.784
Cl 0.542 0.259 0.223
Cl 0.380 0.688 0.784
Cl 0.976 0.543 0.222
Na 0.525 0.525 0.425
Na 0.003 0.003 0.992
Tl 0.810 0.810 0.569
Rh 0.330 0.330 0.010

Material: NaTlRhCl6
Method: DFT, PBE
State: optimized geometry

The raw formation energy comes out at -0.89 eV/atom.

a = 6.989 Å, b = 6.989 Å, c = 11.486 Å
α = 90.00°, β = 90.00°, γ = 120.00°
Element x y z (fractional)
Cl 0.389 0.062 0.630
Cl 0.062 0.672 0.370
Cl 0.062 0.389 0.130
Cl 0.938 0.611 0.870
Cl 0.328 0.938 0.130
Cl 0.672 0.611 0.630
Cl 0.611 0.672 0.130
Cl 0.611 0.938 0.370
Cl 0.328 0.389 0.370
Cl 0.938 0.328 0.630
Cl 0.672 0.062 0.870
Cl 0.389 0.328 0.870
Tl 0.667 0.333 0.250
Tl 0.333 0.667 0.750
Rh 0.333 0.667 0.250
Rh 0.667 0.333 0.750
Na 0.000 0.000 0.500
Na 0.000 0.000 0.000

Material: NaTl2RhCl6
Method: DFT, PBE
State: optimized geometry

The raw formation energy comes out at -0.99 eV/atom.

a = 7.182 Å, b = 7.216 Å, c = 10.182 Å
α = 90.00°, β = 90.00°, γ = 90.00°
Element x y z (fractional)
Tl 0.500 0.753 0.753
Tl 0.000 0.247 0.253
Tl 0.000 0.247 0.747
Tl 0.500 0.753 0.247
Rh 0.500 0.248 0.500
Rh 0.000 0.752 0.000
Cl 0.732 0.479 0.500
Cl 0.500 0.247 0.732
Cl 0.267 0.017 0.500
Cl 0.767 0.983 0.000
Cl 0.233 0.983 0.000
Cl 0.768 0.521 0.000
Cl 0.500 0.247 0.268
Cl 0.733 0.017 0.500
Cl 0.268 0.479 0.500
Cl 0.232 0.521 0.000
Cl 0.000 0.753 0.768
Cl 0.000 0.753 0.232
Na 0.500 0.253 0.000
Na 0.000 0.747 0.500

Material: NaZnRhCl6
Method: DFT, PBE
State: optimized geometry

The raw formation energy comes out at -1.03 eV/atom.

a = 6.293 Å, b = 6.293 Å, c = 12.375 Å
α = 90.00°, β = 90.00°, γ = 120.00°
Element x y z (fractional)
Zn 0.667 0.333 0.250
Zn 0.333 0.667 0.750
Cl 0.356 0.986 0.141
Cl 0.630 0.644 0.141
Cl 0.370 0.356 0.859
Cl 0.014 0.644 0.359
Cl 0.986 0.630 0.859
Cl 0.014 0.370 0.141
Cl 0.644 0.014 0.859
Cl 0.630 0.986 0.359
Cl 0.986 0.356 0.641
Cl 0.644 0.630 0.641
Cl 0.370 0.014 0.641
Cl 0.356 0.370 0.359
Na 0.000 0.000 0.500
Na 0.000 0.000 0.000
Rh 0.333 0.667 0.250
Rh 0.667 0.333 0.750

Material: Na3RuCl7
Method: DFT, PBE
State: optimized geometry

The raw formation energy comes out at -1.17 eV/atom.

a = 7.178 Å, b = 7.178 Å, c = 6.781 Å
α = 86.46°, β = 86.46°, γ = 73.47°
Element x y z (fractional)
Cl 0.111 0.722 0.128
Cl 0.347 0.962 0.819
Cl 0.449 0.449 0.566
Cl 0.962 0.347 0.819
Cl 0.722 0.111 0.128
Cl 0.915 0.915 0.701
Cl 0.158 0.158 0.241
Na 0.266 0.808 0.472
Na 0.808 0.266 0.472
Na 0.352 0.352 0.934
Ru 0.034 0.034 0.970

Material: Na2RuCl
Method: DFT, PBE
State: optimized geometry

Its excess energy over the best structure of this formula in the dataset is 0.00 kJ per mole of atoms. The raw formation energy comes out at 0.28 eV/atom.

a = 9.978 Å, b = 9.978 Å, c = 7.388 Å
α = 47.52°, β = 47.52°, γ = 90.00°
Element x y z (fractional)
Na 0.274 0.625 0.250
Na 0.875 0.726 0.750
Na 0.476 0.125 0.250
Na 0.375 0.524 0.750
Cl 0.500 0.500 0.000
Cl 0.250 0.750 0.500
Ru 0.000 0.000 0.000
Ru 0.750 0.250 0.500

Computed magnetization (μB/f.u.) in order:
3.8 0.0 1.1 0.0 2.4 0.0 0.0 0.0 0.0 0.0 2.0 0.0